Entry 1:
Material: CaTlPb
Method: DFT, PBE-GGA
State: optimized geometry

The structure in extended XYZ format:
```
3
Lattice="0.000 3.708 3.708 3.708 0.000 3.708 3.708 3.708 0.000" Properties=species:S:1:pos:R:3 pbc="T T T"
Ca 0.000 0.000 0.000
Tl 5.562 5.562 5.562
Pb 1.854 1.854 1.854
```

## Properties
Excess energy over the best structure of this formula in the dataset   238 meV/atom
E_form   -7.6 kJ per mole of atoms
Volume   33.99 A^3/atom

---

Entry 2:
Material: CaTlPb2
Method: DFT, PBE-GGA
State: optimized geometry

The structure in extended XYZ format:
```
4
Lattice="4.901 0.000 0.000 0.000 4.919 0.000 0.000 0.000 4.954" Properties=species:S:1:pos:R:3 pbc="T T T"
Ca 0.000 0.000 0.000
Tl 0.000 2.459 2.477
Pb 2.450 0.000 2.477
Pb 2.450 2.459 0.000
```

## Properties
E_form   -28.3 kJ per mole of atoms
Volume   29.86 A^3/atom

---

Entry 3:
Material: Ca3Tl4Pb2
Method: DFT, PBE-GGA
State: optimized geometry

The structure in extended XYZ format:
```
18
Lattice="7.665 -5.927 0.000 7.665 5.927 0.000 -0.711 0.000 6.001" Properties=species:S:1:pos:R:3 pbc="T T T"
Ca 7.132 4.447 4.501
Ca 4.474 1.462 5.484
Ca 4.829 -1.462 2.484
Ca 9.790 1.462 3.517
Ca 10.146 -1.462 0.516
Ca 7.487 -4.447 1.500
Tl 5.811 4.427 1.186
Tl 9.164 4.427 1.814
Tl 6.501 1.518 2.808
Tl 8.474 1.518 0.192
Tl 6.146 -1.518 5.809
Tl 8.118 -1.518 3.193
Tl 5.456 -4.427 4.187
Tl 8.808 -4.427 4.814
Pb 3.172 1.544 2.215
Pb 2.816 -1.544 5.215
Pb 11.803 1.544 0.785
Pb 11.448 -1.544 3.786
```

## Properties
E_form   -28.1 kJ per mole of atoms
Volume   30.29 A^3/atom

---

Entry 4:
Material: CaTl8Pb5
Method: DFT, PBE-GGA
State: optimized geometry

The structure in extended XYZ format:
```
14
Lattice="-4.725 4.725 5.029 4.725 -4.725 5.029 4.725 4.725 -5.029" Properties=species:S:1:pos:R:3 pbc="T T T"
Ca 0.000 0.000 0.000
Tl 1.673 -0.896 2.572
Tl 3.053 5.622 -2.457
Tl 0.631 3.163 0.924
Tl 3.829 3.053 2.457
Tl -0.631 6.288 0.924
Tl -1.562 4.095 4.104
Tl 0.896 1.673 7.485
Tl 1.562 5.356 4.104
Pb 3.644 2.749 -0.781
Pb 4.725 0.000 2.514
Pb 1.976 -1.081 5.810
Pb 1.081 1.976 4.247
Pb 2.749 5.807 0.781
```

## Properties
Excess energy over the best structure of this formula in the dataset   14 meV/atom
E_form   1.9 kJ per mole of atoms
Volume   32.08 A^3/atom